First-principles (PBE-GGA) data for a relaxed Er2TcRu3 crystal, as listed in Alexandria.

Summary:
Magnetization ... 0.00 Bohr magnetons per cell
DFT formation energy ... -0.328 eV per atom
Space-group type ... P6_3/mmc, No. 194

Unit cell a=5.4113 b=5.4113 c=8.4178 alpha=90.00 beta=90.00 gamma=120.00
Sites, in units of the cell vectors:
Ru  0.1724  0.8276  0.2500
Er  0.3333  0.6667  0.5641
Er  0.6667  0.3333  0.0641
Tc  0.0000  0.0000  0.0000
Ru  0.1724  0.3448  0.2500
Ru  0.8276  0.1724  0.7500
Tc  0.0000  0.0000  0.5000
Er  0.6667  0.3333  0.4359
Ru  0.8276  0.6552  0.7500
Er  0.3333  0.6667  0.9359
Ru  0.6552  0.8276  0.2500
Ru  0.3448  0.1724  0.7500

---

First-principles (PBE-GGA) data for a relaxed ErThTcRu crystal, as listed in Alexandria.

Summary:
Magnetization ... 0.00 Bohr magnetons per cell
DFT formation energy ... -0.260 eV per atom
Space-group type ... F-43m, No. 216

Unit cell a=4.8992 b=4.8992 c=4.8992 alpha=60.00 beta=60.00 gamma=60.00
Sites, in units of the cell vectors:
Tc  0.2500  0.2500  0.2500
Th  0.0000  0.0000  0.0000
Ru  0.7500  0.7500  0.7500
Er  0.5000  0.5000  0.5000